# ZrSiNi (PBE-GGA, optimized geometry)
data_ZrSiNi
_cell_length_a 5.1508
_cell_length_b 3.7504
_cell_length_c 9.4479
_cell_angle_alpha 90.00
_cell_angle_beta 90.80
_cell_angle_gamma 90.00
_symmetry_space_group_name_H-M 'P 1'
_symmetry_Int_Tables_number 1
loop_
_symmetry_equiv_pos_as_xyz
'x,y,z'
loop_
_atom_site_label
_atom_site_fract_x
_atom_site_fract_y
_atom_site_fract_z
_atom_site_occupancy
Zr1 0.2476 0.0000 0.2752 1
Zr2 0.7359 0.0000 0.6796 1
Zr3 0.7359 0.5000 0.1796 1
Zr4 0.2476 0.5000 0.7752 1
Ni1 0.2415 0.5000 0.0680 1
Ni2 0.2415 0.0000 0.5680 1
Ni3 0.9724 0.0000 0.9764 1
Ni4 0.9724 0.5000 0.4764 1
Si1 0.4692 0.5000 0.4844 1
Si2 0.4692 0.0000 0.9844 1
Si3 0.7666 0.0000 0.3891 1
Si4 0.7666 0.5000 0.8891 1
# Symmetry: Cm, No. 8

# ZrSi2Ni2 (PBE-GGA, optimized geometry)
data_ZrSi2Ni2
_cell_length_a 7.0857
_cell_length_b 7.0857
_cell_length_c 2.6785
_cell_angle_alpha 90.00
_cell_angle_beta 90.00
_cell_angle_gamma 90.00
_symmetry_space_group_name_H-M 'P 1'
_symmetry_Int_Tables_number 1
loop_
_symmetry_equiv_pos_as_xyz
'x,y,z'
loop_
_atom_site_label
_atom_site_fract_x
_atom_site_fract_y
_atom_site_fract_z
_atom_site_occupancy
Zr1 0.0000 0.0000 0.0000 1
Zr2 0.5000 0.5000 0.0000 1
Si1 0.6421 0.1421 0.0000 1
Si2 0.3579 0.8579 0.0000 1
Si3 0.8579 0.6421 0.0000 1
Si4 0.1421 0.3579 0.0000 1
Ni1 0.8545 0.3545 0.5000 1
Ni2 0.6455 0.8545 0.5000 1
Ni3 0.3545 0.1455 0.5000 1
Ni4 0.1455 0.6455 0.5000 1
# Symmetry: P4/mbm, No. 127

# ZrSi4Ni4 (PBE-GGA, optimized geometry)
data_ZrSi4Ni4
_cell_length_a 5.5877
_cell_length_b 5.5877
_cell_length_c 7.6173
_cell_angle_alpha 90.00
_cell_angle_beta 90.00
_cell_angle_gamma 90.00
_symmetry_space_group_name_H-M 'P 1'
_symmetry_Int_Tables_number 1
loop_
_symmetry_equiv_pos_as_xyz
'x,y,z'
loop_
_atom_site_label
_atom_site_fract_x
_atom_site_fract_y
_atom_site_fract_z
_atom_site_occupancy
Si1 0.7166 0.0000 0.3075 1
Si2 0.0000 0.2834 0.6925 1
Si3 0.5000 0.7834 0.8075 1
Si4 0.2834 0.0000 0.3075 1
Si5 0.2166 0.5000 0.1925 1
Si6 0.7834 0.5000 0.1925 1
Si7 0.0000 0.7166 0.6925 1
Si8 0.5000 0.2166 0.8075 1
Ni1 0.2736 0.0000 0.6045 1
Ni2 0.7736 0.5000 0.8955 1
Ni3 0.2264 0.5000 0.8955 1
Ni4 0.7264 0.0000 0.6045 1
Ni5 0.0000 0.2736 0.3955 1
Ni6 0.0000 0.7264 0.3955 1
Ni7 0.5000 0.7736 0.1045 1
Ni8 0.5000 0.2264 0.1045 1
Zr1 0.0000 0.0000 0.0000 1
Zr2 0.5000 0.5000 0.5000 1
# Symmetry: P4_2/nmc, No. 137

# ZrSi2Ni (PBE-GGA, optimized geometry)
data_ZrSi2Ni
_cell_length_a 3.1119
_cell_length_b 3.1119
_cell_length_c 6.3092
_cell_angle_alpha 90.00
_cell_angle_beta 90.00
_cell_angle_gamma 101.54
_symmetry_space_group_name_H-M 'P 1'
_symmetry_Int_Tables_number 1
loop_
_symmetry_equiv_pos_as_xyz
'x,y,z'
loop_
_atom_site_label
_atom_site_fract_x
_atom_site_fract_y
_atom_site_fract_z
_atom_site_occupancy
Zr1 0.5000 0.5000 0.2500 1
Si1 0.0000 0.0000 0.9475 1
Si2 0.0000 0.0000 0.5525 1
Ni1 0.5000 0.5000 0.7500 1
# Symmetry: Cmmm, No. 65

# ZrSi2Ni (PBE-GGA, optimized geometry)
data_ZrSi2Ni
_cell_length_a 4.2786
_cell_length_b 4.2786
_cell_length_c 8.2585
_cell_angle_alpha 74.99
_cell_angle_beta 74.99
_cell_angle_gamma 90.00
_symmetry_space_group_name_H-M 'P 1'
_symmetry_Int_Tables_number 1
loop_
_symmetry_equiv_pos_as_xyz
'x,y,z'
loop_
_atom_site_label
_atom_site_fract_x
_atom_site_fract_y
_atom_site_fract_z
_atom_site_occupancy
Ni1 0.2500 0.7500 0.5000 1
Ni2 0.5000 0.5000 0.0000 1
Zr1 0.0000 0.0000 0.0000 1
Zr2 0.7500 0.2500 0.5000 1
Si1 0.3750 0.4983 0.7500 1
Si2 0.8750 0.7517 0.7500 1
Si3 0.2483 0.6250 0.2500 1
Si4 0.5017 0.1250 0.2500 1
# Symmetry: I-42d, No. 122

# ZrSiNi2 (PBE-GGA, optimized geometry)
data_ZrSiNi2
_cell_length_a 3.9649
_cell_length_b 3.9649
_cell_length_c 4.7671
_cell_angle_alpha 65.32
_cell_angle_beta 65.32
_cell_angle_gamma 60.00
_symmetry_space_group_name_H-M 'P 1'
_symmetry_Int_Tables_number 1
loop_
_symmetry_equiv_pos_as_xyz
'x,y,z'
loop_
_atom_site_label
_atom_site_fract_x
_atom_site_fract_y
_atom_site_fract_z
_atom_site_occupancy
Si1 0.7500 0.7500 0.7500 1
Zr1 0.2500 0.2500 0.2500 1
Ni1 0.0358 0.0358 0.8917 1
Ni2 0.4642 0.4642 0.6083 1
# Symmetry: C2/m, No. 12

# ZrSi2Ni (PBE-GGA, optimized geometry)
data_ZrSi2Ni
_cell_length_a 3.7321
_cell_length_b 3.9707
_cell_length_c 3.9707
_cell_angle_alpha 90.00
_cell_angle_beta 90.00
_cell_angle_gamma 90.00
_symmetry_space_group_name_H-M 'P 1'
_symmetry_Int_Tables_number 1
loop_
_symmetry_equiv_pos_as_xyz
'x,y,z'
loop_
_atom_site_label
_atom_site_fract_x
_atom_site_fract_y
_atom_site_fract_z
_atom_site_occupancy
Zr1 0.5000 0.5000 0.0000 1
Si1 0.0000 0.0000 0.0000 1
Si2 0.0000 0.5000 0.5000 1
Ni1 0.5000 0.0000 0.5000 1
# Symmetry: P4/mmm, No. 123

# ZrSiNi2 (PBE-GGA, optimized geometry)
data_ZrSiNi2
_cell_length_a 4.2907
_cell_length_b 4.2907
_cell_length_c 4.2907
_cell_angle_alpha 60.00
_cell_angle_beta 60.00
_cell_angle_gamma 60.00
_symmetry_space_group_name_H-M 'P 1'
_symmetry_Int_Tables_number 1
loop_
_symmetry_equiv_pos_as_xyz
'x,y,z'
loop_
_atom_site_label
_atom_site_fract_x
_atom_site_fract_y
_atom_site_fract_z
_atom_site_occupancy
Ni1 0.2500 0.2500 0.2500 1
Ni2 0.0000 0.0000 0.0000 1
Si1 0.5000 0.5000 0.5000 1
Zr1 0.7500 0.7500 0.7500 1
# Symmetry: F-43m, No. 216

# Zr2Si3Ni4 (PBE-GGA, optimized geometry)
data_Zr2Si3Ni4
_cell_length_a 7.4016
_cell_length_b 7.4016
_cell_length_c 6.8995
_cell_angle_alpha 90.00
_cell_angle_beta 90.00
_cell_angle_gamma 139.43
_symmetry_space_group_name_H-M 'P 1'
_symmetry_Int_Tables_number 1
loop_
_symmetry_equiv_pos_as_xyz
'x,y,z'
loop_
_atom_site_label
_atom_site_fract_x
_atom_site_fract_y
_atom_site_fract_z
_atom_site_occupancy
Ni1 0.6826 0.8174 0.7500 1
Ni2 0.1826 0.3174 0.7500 1
Ni3 0.8210 0.1790 0.0108 1
Ni4 0.1790 0.8210 0.9892 1
Ni5 0.3174 0.1826 0.2500 1
Ni6 0.6790 0.3210 0.5108 1
Ni7 0.8174 0.6826 0.2500 1
Ni8 0.3210 0.6790 0.4892 1
Si1 0.9845 0.5155 0.2500 1
Si2 0.4845 0.0155 0.2500 1
Si3 0.0000 0.0000 0.0000 1
Si4 0.5155 0.9845 0.7500 1
Si5 0.0155 0.4845 0.7500 1
Si6 0.5000 0.5000 0.5000 1
Zr1 0.6033 0.3967 0.8988 1
Zr2 0.8967 0.1033 0.3988 1
Zr3 0.1033 0.8967 0.6012 1
Zr4 0.3967 0.6033 0.1012 1
# Symmetry: Cmce, No. 64

# ZrSiNi (PBE-GGA, optimized geometry)
data_ZrSiNi
_cell_length_a 6.4641
_cell_length_b 3.7934
_cell_length_c 9.6527
_cell_angle_alpha 90.00
_cell_angle_beta 129.53
_cell_angle_gamma 90.00
_symmetry_space_group_name_H-M 'P 1'
_symmetry_Int_Tables_number 1
loop_
_symmetry_equiv_pos_as_xyz
'x,y,z'
loop_
_atom_site_label
_atom_site_fract_x
_atom_site_fract_y
_atom_site_fract_z
_atom_site_occupancy
Si1 0.7974 0.0000 0.8415 1
Si2 0.2026 0.5000 0.6585 1
Si3 0.2026 0.0000 0.1585 1
Si4 0.7974 0.5000 0.3415 1
Ni1 0.5830 0.0000 0.1692 1
Ni2 0.4170 0.5000 0.3308 1
Ni3 0.5830 0.5000 0.6692 1
Ni4 0.4170 0.0000 0.8308 1
Zr1 0.8040 0.0000 0.5608 1
Zr2 0.1960 0.0000 0.4392 1
Zr3 0.8040 0.5000 0.0608 1
Zr4 0.1960 0.5000 0.9392 1
# Symmetry: C2/m, No. 12

# ZrSi2Ni (PBE-GGA, optimized geometry)
data_ZrSi2Ni
_cell_length_a 3.9140
_cell_length_b 2.9820
_cell_length_c 5.2265
_cell_angle_alpha 89.98
_cell_angle_beta 90.00
_cell_angle_gamma 90.00
_symmetry_space_group_name_H-M 'P 1'
_symmetry_Int_Tables_number 1
loop_
_symmetry_equiv_pos_as_xyz
'x,y,z'
loop_
_atom_site_label
_atom_site_fract_x
_atom_site_fract_y
_atom_site_fract_z
_atom_site_occupancy
Ni1 0.5000 0.7500 0.7500 1
Si1 0.0000 0.7506 0.9869 1
Si2 0.0000 0.7494 0.5131 1
Zr1 0.5000 0.2500 0.2500 1
# Symmetry: Pmmm, No. 47

# ZrSiNi (PBE-GGA, optimized geometry)
data_ZrSiNi
_cell_length_a 3.7584
_cell_length_b 3.7584
_cell_length_c 13.5446
_cell_angle_alpha 90.00
_cell_angle_beta 90.00
_cell_angle_gamma 90.00
_symmetry_space_group_name_H-M 'P 1'
_symmetry_Int_Tables_number 1
loop_
_symmetry_equiv_pos_as_xyz
'x,y,z'
loop_
_atom_site_label
_atom_site_fract_x
_atom_site_fract_y
_atom_site_fract_z
_atom_site_occupancy
Si1 0.5000 0.0000 0.2097 1
Si2 0.0000 0.0000 0.4597 1
Si3 0.0000 0.5000 0.7097 1
Si4 0.5000 0.5000 0.9597 1
Zr1 0.5000 0.5000 0.5423 1
Zr2 0.5000 0.0000 0.7923 1
Zr3 0.0000 0.0000 0.0423 1
Zr4 0.0000 0.5000 0.2923 1
Ni1 0.0000 0.0000 0.6247 1
Ni2 0.5000 0.0000 0.3747 1
Ni3 0.0000 0.5000 0.8747 1
Ni4 0.5000 0.5000 0.1247 1
# Symmetry: I4_1md, No. 109

no.,E_form (uncorrected) (meV per atom)
1,-674
2,-487
3,-530
4,-447
5,-199
6,-618
7,-462
8,-377
9,-715
10,-817
11,-564
12,-772